(a)
DFT (PBE) results for an optimized crystal structure of NaCrOs3.

Lattice parameters (Å, degrees): 4.5046 4.5046 4.5046 90.00 90.00 90.00
With the nearest neighbours (Å) after each atom.
Element x y z (fractional)
Na1 0.0000 0.0000 0.0000  12 Os 3.19
Cr1 0.5000 0.5000 0.5000  6 Os 2.25
Os1 0.0000 0.5000 0.5000  2 Cr 2.25
Os2 0.5000 0.0000 0.5000  2 Cr 2.25
Os3 0.5000 0.5000 0.0000  2 Cr 2.25

Computed properties:
Symmetry ... No. 221
Size of the total moment ... 0.11 μB/atom

***

(b)
DFT (PBE) results for an optimized crystal structure of NaCrOs3.

Lattice parameters (Å, degrees): 4.3488 4.3488 4.3488 90.00 90.00 90.00
With the nearest neighbours (Å) after each atom.
Element x y z (fractional)
Na1 0.0000 0.0000 0.0000  6 Os 2.17
Cr1 0.5000 0.5000 0.5000  12 Os 3.08
Os1 0.0000 0.0000 0.5000  2 Na 2.17
Os2 0.0000 0.5000 0.0000  2 Na 2.17
Os3 0.5000 0.0000 0.0000  2 Na 2.17

Computed properties:
Symmetry ... No. 221
Size of the total moment ... 0.00 μB/atom

***

(a) takes first place; second place is 1.512 eV/atom up.

***

(a)
DFT (PBE) results for an optimized crystal structure of NaCr3Os.

Lattice parameters (Å, degrees): 4.5366 4.5366 4.5366 90.00 90.00 90.00
With the nearest neighbours (Å) after each atom.
Element x y z (fractional)
Na1 0.0000 0.0000 0.0000  6 Cr 2.27
Cr1 0.0000 0.0000 0.5000  2 Na 2.27
Cr2 0.0000 0.5000 0.0000  2 Na 2.27
Cr3 0.5000 0.0000 0.0000  2 Na 2.27
Os1 0.5000 0.5000 0.5000  12 Cr 3.21

Computed properties:
Symmetry ... No. 221
Size of the total moment ... 2.28 μB/atom

***

(b)
DFT (PBE) results for an optimized crystal structure of NaCr3Os.

Lattice parameters (Å, degrees): 4.7946 4.7946 4.7946 90.00 90.00 90.00
With the nearest neighbours (Å) after each atom.
Element x y z (fractional)
Na1 0.0000 0.0000 0.0000  12 Cr 3.39
Cr1 0.0000 0.5000 0.5000  2 Os 2.40
Cr2 0.5000 0.0000 0.5000  2 Os 2.40
Cr3 0.5000 0.5000 0.0000  2 Os 2.40
Os1 0.5000 0.5000 0.5000  6 Cr 2.40

Computed properties:
Symmetry ... No. 221
Size of the total moment ... 1.93 μB/atom

***

(b) takes first place; second place is 1.341 eV/atom up.